Pm2Hg3Pb: relaxed, PBE.

## Properties
ΔE to the lowest computed polymorph, meV/atom: 0
Space group: Pmm2
Formation energy from the elements, meV/atom: -397
Calculated total energy, eV/atom: -2.75

```
Pm2Hg3Pb
1.0
3.587 0.000 0.000
0.000 5.094 0.000
0.000 0.000 8.755
Pm Hg Pb
2 3 1
Direct
0.000 0.500 0.994 Pm
0.000 0.000 0.508 Pm
0.500 0.000 0.830 Hg
0.500 0.000 0.158 Hg
0.500 0.500 0.676 Hg
0.500 0.500 0.335 Pb
```



MgPdAu6: relaxed, PBE.

## Properties
ΔE to the lowest computed polymorph, meV/atom: 0
Space group: Fmmm
Formation energy from the elements, meV/atom: -238
Calculated total energy, eV/atom: -3.54

```
MgPdAu6
1.0
-4.441 -0.031 2.339
1.100 -4.685 -1.429
1.045 -3.289 5.599
Mg Pd Au
1 1 6
Direct
0.000 0.000 0.000 Mg
0.500 0.500 0.000 Pd
0.748 0.748 0.504 Au
0.622 0.122 0.756 Au
0.122 0.622 0.756 Au
0.378 0.878 0.244 Au
0.252 0.252 0.496 Au
0.878 0.378 0.244 Au
```



- Which of these has the lowest calculated total energy?
  MgPdAu6